Material: RbSnTe2Au
Method: DFT, GGA-PBE
State: optimized geometry

Lattice parameters (Å, degrees): 6.375 7.521 8.951 114.84 90.00 90.00
Fractional positions:
Rb 0.236 0.750 0.500
Rb 0.764 0.250 0.500
Sn 0.500 0.750 0.000
Sn 0.500 0.250 0.000
Te 0.741 0.875 0.750
Te 0.741 0.625 0.250
Te 0.259 0.375 0.750
Te 0.259 0.125 0.250
Au 0.000 0.000 0.000
Au 0.000 0.500 0.000

## Properties
As for the space group: Cmme. The value obtained for the calculated volume is 389.47 Å³/cell. For the raw formation energy, the calculation gives -2.09 eV per formula unit. As for the electronic total energy: -3.324 eV per atom.

Material: RbSnTe6Au
Method: DFT, GGA-PBE
State: optimized geometry

Lattice parameters (Å, degrees): 9.986 8.968 10.225 116.01 119.23 90.00
Fractional positions:
Rb 0.918 0.668 0.835
Rb 0.082 0.332 0.165
Sn 0.500 0.000 0.500
Sn 0.000 0.000 0.500
Te 0.326 0.576 0.652
Te 0.847 0.097 0.695
Te 0.820 0.129 0.250
Te 0.429 0.620 0.250
Te 0.429 0.129 0.250
Te 0.820 0.620 0.250
Te 0.674 0.424 0.348
Te 0.153 0.903 0.305
Te 0.180 0.871 0.750
Te 0.571 0.380 0.750
Te 0.571 0.871 0.750
Te 0.180 0.380 0.750
Au 0.500 0.500 0.000
Au 0.500 0.000 0.000

## Properties
As for the space group: Imma. The value obtained for the calculated volume is 690.84 Å³/cell. For the raw formation energy, the calculation gives -1.51 eV per formula unit. As for the electronic total energy: -3.178 eV per atom.

Material: RbSn2TeAu
Method: DFT, GGA-PBE
State: optimized geometry

Lattice parameters (Å, degrees): 5.915 6.862 5.915 90.00 90.00 90.00
Fractional positions:
Te 0.000 0.000 0.000
Au 0.500 0.500 0.500
Sn 0.000 0.000 0.500
Sn 0.500 0.000 0.000
Rb 0.000 0.500 0.000

## Properties
As for the space group: P4/mmm. The value obtained for the calculated volume is 240.07 Å³/cell. For the raw formation energy, the calculation gives 2.14 eV per formula unit. As for the electronic total energy: -2.650 eV per atom.

Material: RbTlSnAu2
Method: DFT, GGA-PBE
State: optimized geometry

Lattice parameters (Å, degrees): 5.446 5.446 5.827 90.00 90.00 90.00
Fractional positions:
Tl 0.000 0.000 0.500
Au 0.000 0.500 0.000
Au 0.500 0.000 0.000
Sn 0.000 0.000 0.000
Rb 0.500 0.500 0.500

## Properties
As for the space group: P4/mmm. Its formation energy is -0.0284 eV per atom. The value obtained for the calculated volume is 172.81 Å³/cell. As for the electronic total energy: -2.807 eV per atom. The calculation puts the energy above the most stable polymorph in this dataset at 0 meV/atom.

Material: Rb2TlSn3Au4
Method: DFT, GGA-PBE
State: optimized geometry

Lattice parameters (Å, degrees): 5.099 5.099 10.915 90.00 90.00 90.00
Fractional positions:
Rb 0.500 0.000 0.246
Rb 0.000 0.500 0.754
Tl 0.500 0.500 0.500
Sn 0.000 0.000 0.500
Sn 0.500 0.000 0.888
Sn 0.000 0.500 0.112
Au 0.500 0.500 0.000
Au 0.000 0.000 0.000
Au 0.500 0.000 0.631
Au 0.000 0.500 0.369

## Properties
As for the space group: P-4m2. Its formation energy is -0.2550 eV per atom. The value obtained for the calculated volume is 283.81 Å³/cell. As for the electronic total energy: -3.197 eV per atom.

Material: RbTlSnAu2
Method: DFT, GGA-PBE
State: optimized geometry

Lattice parameters (Å, degrees): 5.378 6.207 5.378 90.00 90.00 90.00
Fractional positions:
Tl 0.000 0.000 0.000
Au 0.000 0.000 0.500
Au 0.500 0.000 0.000
Sn 0.500 0.500 0.500
Rb 0.000 0.500 0.000

## Properties
As for the space group: P4/mmm. Its formation energy is 0.5045 eV per atom. The value obtained for the calculated volume is 179.55 Å³/cell. As for the electronic total energy: -2.274 eV per atom. The calculation puts the energy above the most stable polymorph in this dataset at 533 meV/atom.